Compound: SmDy3Se4
Source: Alexandria
Functional: PBE-GGA
Structure: relaxed

a b c (Å): 13.642 13.642 13.642
angles (deg): 17.26 17.26 17.26
Atoms (fractional coordinates):
1 Sm 0.000 0.000 0.000
2 Dy 0.249 0.249 0.249
3 Dy 0.500 0.500 0.500
4 Dy 0.751 0.751 0.751
5 Se 0.126 0.126 0.126
6 Se 0.377 0.377 0.377
7 Se 0.623 0.623 0.623
8 Se 0.874 0.874 0.874

Properties
DFT total energy   -5.823 eV per atom
Formation energy (no corrections)   -1362 kJ/mol of formula units
Polymorph energy (0 for the lowest one)   0 meV/atom
Volume   24.37 Å³ per atom
Space-group type   No. 166
Spin magnetization   0.00 Bohr magnetons per cell